Entry 1:
The following is a PBE calculation of crystalline Y7Pb at its relaxed geometry, from Alexandria.

The structure in CIF format:
```
data_Y7Pb
_chemical_formula_sum 'Y28 Pb4'
_cell_length_a 9.982
_cell_length_b 9.982
_cell_length_c 9.982
_cell_angle_alpha 90.00
_cell_angle_beta 90.00
_cell_angle_gamma 90.00
_symmetry_space_group_name_H-M 'F m -3 m'
_symmetry_Int_Tables_number 225
_symmetry_space_group_name_Hall '-F 4 2 3'
loop_
_atom_site_label
_atom_site_fract_x
_atom_site_fract_y
_atom_site_fract_z
_atom_site_occupancy
Y1 0.000 0.000 0.000 1
Y2 0.000 0.250 0.250 1
Pb1 0.000 0.000 0.500 1
```

Values from the calculation:
DFT total energy: -6.22 eV per atom
size of the total moment: 0.00 μB per formula unit
formation enthalpy at 0 K: -0.1032 eV/atom



Entry 2:
The following is a PBE calculation of crystalline YPb3 at its relaxed geometry, from Alexandria.

The structure in CIF format:
```
data_YPb3
_chemical_formula_sum 'Y1 Pb3'
_cell_length_a 5.677
_cell_length_b 5.677
_cell_length_c 3.687
_cell_angle_alpha 90.00
_cell_angle_beta 90.00
_cell_angle_gamma 90.00
_symmetry_space_group_name_H-M 'P 4/m m m'
_symmetry_Int_Tables_number 123
_symmetry_space_group_name_Hall '-P 4 2'
loop_
_atom_site_label
_atom_site_fract_x
_atom_site_fract_y
_atom_site_fract_z
_atom_site_occupancy
Y1 0.000 0.000 0.000 1
Pb1 0.000 0.500 0.500 1
Pb2 0.500 0.500 0.000 1
```

Values from the calculation:
DFT total energy: -4.63 eV per atom
size of the total moment: 0.00 μB per formula unit
formation enthalpy at 0 K: -0.2285 eV/atom



no.,Fermi-level density of states (states/eV per cell)
1,27.7
2,2.0